[1]
The following is a GGA-PBEsol calculation of an optimized crystal structure of Nb2VFeSe10, from Alexandria via LeMat-Bulk.

density of states at the Fermi level = 0.287 states/eV per atom
total moment = 0.0 μB per formula unit
uncorrected formation energy = -627 meV/atom

Lattice parameters (Å, degrees): 9.242 3.426 9.828 90.00 112.95 90.00
Fractional coordinates of all 14 atoms:
Nb1 0.000 0.000 0.000
Nb2 0.449 0.500 0.268
V1 0.270 0.000 0.552
Fe1 0.178 0.500 0.735
Se1 0.066 0.500 0.478
Se2 0.211 0.500 0.991
Se3 0.235 0.000 0.275
Se4 0.371 0.000 0.806
Se5 0.474 0.500 0.552
Se6 0.564 0.000 0.132
Se7 0.681 0.000 0.396
Se8 0.766 0.500 0.872
Se9 0.886 0.500 0.136
Se10 0.989 0.000 0.722

---

[2]
The following is a GGA-PBEsol calculation of an optimized crystal structure of Bi4Te3Se3, from Alexandria via LeMat-Bulk.

total moment = 0.0 μB per formula unit
uncorrected formation energy = -315 meV/atom

Lattice parameters (Å, degrees): 19.816 19.816 19.816 12.31 12.31 12.31
Fractional coordinates of all 10 atoms:
Bi1 0.000 0.000 0.000
Bi2 0.100 0.100 0.100
Bi3 0.496 0.496 0.496
Bi4 0.604 0.604 0.604
Te1 0.193 0.193 0.193
Te2 0.697 0.697 0.697
Te3 0.907 0.907 0.907
Se1 0.302 0.302 0.302
Se2 0.408 0.408 0.408
Se3 0.798 0.798 0.798

---

[3]
The following is a GGA-PBEsol calculation of an optimized crystal structure of YSc2W, from Alexandria via LeMat-Bulk.

density of states at the Fermi level = 1.163 states/eV per atom
total moment = 0.0 μB per formula unit
energy above the lowest structure with this stoichiometry = 40 meV/atom

Lattice parameters (Å, degrees): 5.362 5.362 5.362 135.19 126.26 72.49
Fractional coordinates of all 4 atoms:
Y1 0.000 0.000 0.000
Sc1 0.271 0.771 0.500
Sc2 0.729 0.229 0.500
W1 0.500 0.500 0.000